# BaCdGaGe2, optimized geometry, DFT PBE
data_BaCdGaGe2
_chemical_formula_sum 'Ba2 Cd2 Ga2 Ge4'
_space_group_name_H-M_alt 'I -4 m 2'
_space_group_IT_number 119
_space_group_name_Hall 'I -4 -2'
_cell_length_a 4.606
_cell_length_b 4.606
_cell_length_c 11.850
_cell_angle_alpha 90.00
_cell_angle_beta 90.00
_cell_angle_gamma 90.00
loop_
_atom_site_label
_atom_site_type_symbol
_atom_site_fract_x
_atom_site_fract_y
_atom_site_fract_z
_atom_site_occupancy
Ba1 Ba 0.000 0.000 0.000 1
Cd1 Cd 0.000 0.500 0.750 1
Ga1 Ga 0.000 0.500 0.250 1
Ge1 Ge 0.000 0.000 0.385 1
# Size of the total moment   0.00 μB per formula unit
# Total energy   -3.35 eV per atom